[1]
First-principles (PBE-GGA) data for a geometry-optimized Ba2Cu structure, as listed in the Alexandria database.

Results
electronic total energy = -6.367 eV/f.u.
ΔH_f (0 K) = 0.52 eV per atom
crystal system = hexagonal

Cell lengths 10.645, 10.645, 6.619 Å; angles 90.00, 90.00, 120.00 degrees
Sites, in units of the cell vectors:
1 Ba 0.000 0.000 0.000
2 Ba 0.000 0.000 0.500
3 Ba 0.204 0.407 0.250
4 Ba 0.204 0.796 0.250
5 Ba 0.407 0.204 0.750
6 Ba 0.593 0.796 0.250
7 Ba 0.796 0.204 0.750
8 Ba 0.796 0.593 0.750
9 Cu 0.333 0.667 0.570
10 Cu 0.333 0.667 0.930
11 Cu 0.667 0.333 0.070
12 Cu 0.667 0.333 0.430



[2]
First-principles (PBE-GGA) data for a geometry-optimized AgTe2Se4 structure, as listed in the Alexandria database.

Results
formation energy without anion corrections = 0.10 eV per atom
electronic total energy = -22.376 eV/f.u.
crystal system = orthorhombic
ΔE to the lowest computed polymorph = 0.095 eV/atom

Cell lengths 7.490, 11.991, 4.147 Å; angles 90.00, 90.00, 90.00 degrees
Sites, in units of the cell vectors:
1 Ag 0.000 0.000 0.000
2 Ag 0.500 0.500 0.000
3 Te 0.071 0.339 0.500
4 Te 0.429 0.839 0.500
5 Te 0.571 0.161 0.500
6 Te 0.929 0.661 0.500
7 Se 0.134 0.797 0.000
8 Se 0.235 0.542 0.500
9 Se 0.265 0.042 0.500
10 Se 0.366 0.297 0.000
11 Se 0.634 0.703 0.000
12 Se 0.735 0.958 0.500
13 Se 0.765 0.458 0.500
14 Se 0.866 0.203 0.000



[3]
First-principles (PBE-GGA) data for a geometry-optimized Ir2CN2 structure, as listed in the Alexandria database.

Results
formation energy without anion corrections = 1.71 eV per atom
electronic total energy = -35.063 eV/f.u.
crystal system = tetragonal
ΔE to the lowest computed polymorph = 0.000 eV/atom

Cell lengths 5.912, 5.912, 3.070 Å; angles 90.00, 90.00, 90.00 degrees
Sites, in units of the cell vectors:
1 Ir 0.204 0.296 0.000
2 Ir 0.296 0.796 0.000
3 Ir 0.704 0.204 0.000
4 Ir 0.796 0.704 0.000
5 C 0.000 0.000 0.000
6 C 0.500 0.500 0.000
7 N 0.143 0.643 0.500
8 N 0.357 0.143 0.500
9 N 0.643 0.857 0.500
10 N 0.857 0.357 0.500



[4]
First-principles (PBE-GGA) data for a geometry-optimized Sc2SnPt3 structure, as listed in the Alexandria database.

Results
electronic total energy = -40.961 eV/f.u.
ΔH_f (0 K) = -1.03 eV per atom
crystal system = trigonal

Cell lengths 4.659, 4.659, 11.585 Å; angles 90.00, 90.00, 120.00 degrees
Sites, in units of the cell vectors:
1 Sc 0.000 0.000 0.000
2 Sc 0.000 0.000 0.500
3 Sc 0.333 0.667 0.171
4 Sc 0.667 0.333 0.829
5 Sn 0.333 0.667 0.671
6 Sn 0.667 0.333 0.329
7 Pt 0.000 0.000 0.241
8 Pt 0.000 0.000 0.759
9 Pt 0.333 0.667 0.429
10 Pt 0.333 0.667 0.930
11 Pt 0.667 0.333 0.070
12 Pt 0.667 0.333 0.571



[5]
First-principles (PBE-GGA) data for a geometry-optimized Dy2Si3SnPt4 structure, as listed in the Alexandria database.

Results
formation energy without anion corrections = -0.98 eV per atom
electronic total energy = -63.461 eV/f.u.
crystal system = tetragonal

Cell lengths 4.181, 4.181, 10.592 Å; angles 90.00, 90.00, 90.00 degrees
Sites, in units of the cell vectors:
1 Dy 0.000 0.500 0.234
2 Dy 0.500 0.000 0.766
3 Si 0.000 0.500 0.874
4 Si 0.500 0.000 0.126
5 Si 0.500 0.500 0.500
6 Sn 0.000 0.000 0.500
7 Pt 0.000 0.000 0.000
8 Pt 0.000 0.500 0.652
9 Pt 0.500 0.000 0.348
10 Pt 0.500 0.500 0.000



[6]
First-principles (PBE-GGA) data for a geometry-optimized Rb2NdAlS4 structure, as listed in the Alexandria database.

Results
formation energy without anion corrections = -1.28 eV per atom
electronic total energy = -37.226 eV/f.u.
crystal system = orthorhombic

Cell lengths 8.386, 8.386, 8.386 Å; angles 122.33, 117.85, 89.89 degrees
Sites, in units of the cell vectors:
1 Rb 0.000 0.000 0.000
2 Rb 0.500 0.000 0.000
3 Rb 0.500 0.000 0.500
4 Rb 0.500 0.500 0.500
5 Nd 0.000 0.500 0.500
6 Nd 0.500 0.500 0.000
7 Al 0.000 0.000 0.500
8 Al 0.000 0.500 0.000
9 S 0.181 0.740 0.441
10 S 0.201 0.260 0.941
11 S 0.217 0.241 0.524
12 S 0.217 0.694 0.976
13 S 0.783 0.306 0.024
14 S 0.783 0.759 0.476
15 S 0.799 0.740 0.059
16 S 0.819 0.260 0.559



Number 1: total moment 0.0001 μB/atom. Number 2: total moment 0.0000 μB/atom. Number 3: total moment 0.0001 μB/atom. Number 4: total moment 0.0000 μB/atom. Number 5: total moment 0.0000 μB/atom. Number 6: total moment 0.0000 μB/atom.